Below is crystalline NiSn3O at its relaxed geometry, with properties calculated at the PBE+U level.

The structure in POSCAR format:
```
NiSn3O
1.0
4.7151 0.0000 0.0000
0.0000 4.7151 0.0000
0.0000 0.0000 4.7151
Ni Sn O
1 3 1
Cartesian
0.0000 0.0000 0.0000 Ni
0.0000 2.3575 2.3575 Sn
2.3575 0.0000 2.3575 Sn
2.3575 2.3575 0.0000 Sn
2.3575 2.3575 2.3575 O
```

Properties
**Magnetization**: 0.9 μB/f.u.
**Energy above the lowest structure with this stoichiometry**: 0 meV/atom
**Total energy**: -3.61 eV per atom
**Volume**: 21.0 Å³ per atom